VASP calculation (PBE) on crystalline ZrPb3I at its relaxed geometry.

abc: 5.783 5.783 5.783
angles: 90.00 90.00 90.00
Sites, in units of the cell vectors:
Pb: 0.000 0.500 0.000
Pb: 0.000 0.000 0.500
Pb: 0.500 0.000 0.000
I: 0.500 0.500 0.500
Zr: 0.000 0.000 0.000

E above lowest polymorph: 0 meV per atom
uncorrected formation energy: 0.2694 eV per atom